# 1
5
Lattice="5.2197 0.0000 0.0000 0.0000 5.2197 0.0000 0.0000 0.0000 5.2197" Properties=species:S:1:pos:R:3 comment="PBE AlTl3Cu, optimized geometry" e_tot_ev_per_atom=-2.5957 m_tot_mub_per_cell=0.00 space_group="Pm-3m (221)" pbc="T T T"
Al 0.0000 0.0000 0.0000
Tl 0.0000 2.6099 2.6099
Tl 2.6099 0.0000 2.6099
Tl 2.6099 2.6099 0.0000
Cu 2.6099 2.6099 2.6099

---

# 2
8
Lattice="3.2019 0.0000 0.0000 0.0000 4.4025 0.0000 0.0000 0.0000 8.8410" Properties=species:S:1:pos:R:3 comment="PBE MgFeW2, optimized geometry" e_tot_ev_per_atom=-8.7661 m_tot_mub_per_cell=3.83 space_group="Cmm2 (35)" pbc="T T T"
Mg 0.0000 0.0000 0.0000
Mg 1.6010 2.2012 0.0000
Fe 0.0000 2.2012 6.6767
Fe 1.6010 0.0000 6.6767
W 0.0000 0.0000 4.6878
W 0.0000 2.2012 2.4341
W 1.6010 0.0000 2.4341
W 1.6010 2.2012 4.6878